(1)
# Nd2ZnRh3

A relaxed Nd2ZnRh3 crystal (PBE, Alexandria via LeMat-Bulk).

Unit cell a=5.622 b=5.622 c=8.284 alpha=90.00 beta=90.00 gamma=120.00
Sites, in units of the cell vectors:
Nd  0.333  0.667  0.061
Nd  0.333  0.667  0.439
Nd  0.667  0.333  0.561
Nd  0.667  0.333  0.939
Zn  0.000  0.000  0.000
Zn  0.000  0.000  0.500
Rh  0.166  0.333  0.750
Rh  0.166  0.834  0.750
Rh  0.333  0.166  0.250
Rh  0.667  0.834  0.750
Rh  0.834  0.166  0.250
Rh  0.834  0.667  0.250

As for the space group: P6_3/mmc (194). Its energy above the most stable polymorph in this dataset is 0.000 eV/atom.

***

(2)
# NdZn2Rh2

A relaxed NdZn2Rh2 crystal (PBE, Alexandria via LeMat-Bulk).

Unit cell a=11.281 b=11.281 c=11.281 alpha=158.94 beta=158.94 gamma=29.95
Sites, in units of the cell vectors:
Nd  0.130  0.130  0.000
Nd  0.870  0.870  0.000
Zn  0.000  0.500  0.500
Zn  0.317  0.317  0.000
Zn  0.500  0.000  0.500
Zn  0.683  0.683  0.000
Rh  0.250  0.750  0.500
Rh  0.432  0.432  0.000
Rh  0.568  0.568  0.000
Rh  0.750  0.250  0.500

As for the space group: I4/mmm (139). Its energy above the most stable polymorph in this dataset is 0.000 eV/atom.

***

(3)
# Nd3Zn2Rh3

A relaxed Nd3Zn2Rh3 crystal (PBE, Alexandria via LeMat-Bulk).

Unit cell a=6.248 b=6.248 c=14.143 alpha=90.00 beta=90.00 gamma=141.55
Sites, in units of the cell vectors:
Nd  0.073  0.927  0.611
Nd  0.073  0.927  0.889
Nd  0.345  0.655  0.750
Nd  0.655  0.345  0.250
Nd  0.927  0.073  0.111
Nd  0.927  0.073  0.389
Zn  0.226  0.774  0.080
Zn  0.226  0.774  0.420
Zn  0.774  0.226  0.580
Zn  0.774  0.226  0.920
Rh  0.337  0.663  0.250
Rh  0.397  0.603  0.546
Rh  0.397  0.603  0.954
Rh  0.603  0.397  0.046
Rh  0.603  0.397  0.454
Rh  0.663  0.337  0.750

As for the space group: Cmcm (63). Its energy above the most stable polymorph in this dataset is 0.000 eV/atom.

***

(4)
# NdZnRh2

A relaxed NdZnRh2 crystal (PBE, Alexandria via LeMat-Bulk).

Unit cell a=5.839 b=7.425 c=8.280 alpha=90.00 beta=90.00 gamma=90.00
Sites, in units of the cell vectors:
Nd  0.250  0.000  0.193
Nd  0.250  0.500  0.286
Nd  0.750  0.000  0.807
Nd  0.750  0.500  0.714
Zn  0.250  0.000  0.761
Zn  0.250  0.500  0.767
Zn  0.750  0.000  0.239
Zn  0.750  0.500  0.233
Rh  0.000  0.000  0.500
Rh  0.000  0.500  0.000
Rh  0.250  0.289  0.541
Rh  0.250  0.711  0.541
Rh  0.500  0.000  0.500
Rh  0.500  0.500  0.000
Rh  0.750  0.289  0.459
Rh  0.750  0.711  0.459

As for the space group: Pmma (51). Its energy is -83.03 eV for the cell shown.